Entry 1:
Density functional theory data (PBEsol) for a relaxed structure of Ca2Cu2Hg.

- Formation energy from the elements: -0.221 eV/atom
- Total moment: 0.000 μB/atom
- Volume: 212.1 Å³ per cell
- Relative energy among the computed polymorphs: 0.00 eV/f.u.

CIF file:
```
data_Ca2Cu2Hg
_cell_length_a 7.320
_cell_length_b 7.320
_cell_length_c 3.958
_cell_angle_alpha 90.00
_cell_angle_beta 90.00
_cell_angle_gamma 90.00
_symmetry_space_group_name_H-M 'P 1'
_symmetry_Int_Tables_number 1
loop_
_symmetry_equiv_pos_as_xyz
'x,y,z'
loop_
_atom_site_label
_atom_site_fract_x
_atom_site_fract_y
_atom_site_fract_z
Ca1 0.180 0.320 0.000
Ca2 0.320 0.820 0.000
Ca3 0.680 0.180 0.000
Ca4 0.820 0.680 0.000
Cu1 0.116 0.616 0.500
Cu2 0.384 0.116 0.500
Cu3 0.616 0.884 0.500
Cu4 0.884 0.384 0.500
Hg1 0.000 0.000 0.500
Hg2 0.500 0.500 0.500
```

***

Entry 2:
Density functional theory data (PBEsol) for a relaxed structure of ZnPH5C2N4O3.

- Total moment: 0.000 μB/atom
- Volume: 727.5 Å³ per cell
- Relative energy among the computed polymorphs: 0.13 eV/f.u.

CIF file:
```
data_ZnPH5C2N4O3
_cell_length_a 8.990
_cell_length_b 8.990
_cell_length_c 10.221
_cell_angle_alpha 107.89
_cell_angle_beta 107.89
_cell_angle_gamma 72.23
_symmetry_space_group_name_H-M 'P 1'
_symmetry_Int_Tables_number 1
loop_
_symmetry_equiv_pos_as_xyz
'x,y,z'
loop_
_atom_site_label
_atom_site_fract_x
_atom_site_fract_y
_atom_site_fract_z
Zn1 0.067 0.779 0.548
Zn2 0.221 0.933 0.952
Zn3 0.779 0.067 0.048
Zn4 0.933 0.221 0.452
P1 0.111 0.163 0.219
P2 0.163 0.111 0.719
P3 0.837 0.889 0.281
P4 0.889 0.837 0.781
H1 0.058 0.713 0.062
H2 0.115 0.644 0.216
H3 0.171 0.298 0.237
H4 0.190 0.598 0.886
H5 0.287 0.942 0.438
H6 0.298 0.171 0.737
H7 0.346 0.420 0.891
H8 0.356 0.885 0.284
H9 0.402 0.810 0.614
H10 0.420 0.346 0.391
H11 0.580 0.654 0.609
H12 0.598 0.190 0.386
H13 0.644 0.115 0.716
H14 0.654 0.580 0.109
H15 0.702 0.829 0.263
H16 0.713 0.058 0.562
H17 0.810 0.402 0.114
H18 0.829 0.702 0.763
H19 0.885 0.356 0.784
H20 0.942 0.287 0.938
C1 0.246 0.514 0.064
C2 0.303 0.461 0.602
C3 0.461 0.303 0.102
C4 0.486 0.754 0.436
C5 0.514 0.246 0.564
C6 0.539 0.697 0.898
C7 0.697 0.539 0.398
C8 0.754 0.486 0.936
N1 0.131 0.628 0.117
N2 0.202 0.574 0.575
N3 0.262 0.508 0.937
N4 0.342 0.408 0.143
N5 0.372 0.869 0.383
N6 0.408 0.342 0.643
N7 0.426 0.798 0.925
N8 0.492 0.738 0.563
N9 0.508 0.262 0.437
N10 0.574 0.202 0.075
N11 0.592 0.658 0.357
N12 0.628 0.131 0.617
N13 0.658 0.592 0.857
N14 0.738 0.492 0.063
N15 0.798 0.426 0.425
N16 0.869 0.372 0.883
O1 0.014 0.224 0.651
O2 0.060 0.800 0.877
O3 0.113 0.149 0.365
O4 0.149 0.113 0.865
O5 0.200 0.940 0.623
O6 0.224 0.014 0.151
O7 0.776 0.986 0.849
O8 0.800 0.060 0.377
O9 0.851 0.887 0.135
O10 0.887 0.851 0.635
O11 0.940 0.200 0.123
O12 0.986 0.776 0.349
```

***

Q: Which formula does entry 2 have?
A: ZnPH5C2N4O3